The following is a SCAN calculation of Zr3HgN at its PBEsol-relaxed geometry, from Alexandria.

Results
- Uncorrected energy: -34.95 eV/atom
- Volume: 88.0 Å³/cell
- Crystal system: cubic
- Formation energy without anion corrections: -1.042 eV/atom
- Total magnetic moment: 0.00 μB/cell

a b c (Å): 4.448 4.448 4.448
angles (deg): 90.00 90.00 90.00
Positions (direct):
Zr: 0.000 0.000 0.500
Zr: 0.000 0.500 0.000
Zr: 0.500 0.000 0.000
Hg: 0.500 0.500 0.500
N: 0.000 0.000 0.000